# PBEsol Os3Pt, optimized geometry
data_Os3Pt
_cell_length_a 2.755
_cell_length_b 4.343
_cell_length_c 4.732
_cell_angle_alpha 90.00
_cell_angle_beta 90.00
_cell_angle_gamma 90.00
_symmetry_space_group_name_H-M 'P 1'
_symmetry_Int_Tables_number 1
loop_
_symmetry_equiv_pos_as_xyz
'x,y,z'
loop_
_atom_site_label
_atom_site_fract_x
_atom_site_fract_y
_atom_site_fract_z
Os1 0.500 0.500 0.832
Pt1 0.000 0.500 0.331
Os2 0.500 0.000 0.505
Os3 0.000 0.000 0.999
# E_tot (eV per atom): -10.7707
# Density of states at the Fermi level (states/eV/f.u.): 2.94
# Space group: Pmm2 (25)
# Calculated volume (A^3/atom): 14.154
# Formation energy from the elements (eV per atom): 0.13